1.
Below is an optimized crystal structure of PrSm4Tl4, with properties calculated at the GGA-PBE level.

The density of states at the Fermi level is 0.85 states/eV/atom. The energy of formation from the pure elements is -18 kJ per mole of atoms. As for the magnetic moment: 0.00 μB per cell. Its symmetry is P4_2/n, No. 86.

abc: 6.1792 9.4329 9.4329
angles: 90.00 90.00 90.00
Closest atoms and distances in Å follow each position.
Atoms (fractional coordinates):
Tl: 0.6071 0.8959 0.2113  5 Sm 3.23-3.49, 1 Pr 3.29, 3 Tl 3.35-3.41
Tl: 0.3929 0.2113 0.1041  5 Sm 3.23-3.49, 1 Pr 3.29, 3 Tl 3.35-3.41
Tl: 0.6071 0.1041 0.7887  5 Sm 3.23-3.49, 1 Pr 3.29, 3 Tl 3.35-3.41
Tl: 0.1071 0.7113 0.6041  5 Sm 3.23-3.49, 1 Pr 3.29, 3 Tl 3.35-3.41
Tl: 0.3929 0.7887 0.8959  5 Sm 3.23-3.49, 1 Pr 3.29, 3 Tl 3.35-3.41
Tl: 0.8929 0.3959 0.7113  5 Sm 3.23-3.49, 1 Pr 3.29, 3 Tl 3.35-3.41
Tl: 0.1071 0.2887 0.3959  5 Sm 3.23-3.49, 1 Pr 3.29, 3 Tl 3.35-3.41
Tl: 0.8929 0.6041 0.2887  5 Sm 3.23-3.49, 1 Pr 3.29, 3 Tl 3.35-3.41
Sm: 0.1205 0.9241 0.3358  5 Tl 3.23-3.49, 1 Pr 3.33, 1 Sm 3.41
Sm: 0.6205 0.8358 0.5759  5 Tl 3.23-3.49, 1 Pr 3.33, 1 Sm 3.41
Sm: 0.8795 0.6642 0.9241  5 Tl 3.23-3.49, 1 Pr 3.33, 1 Sm 3.41
Sm: 0.3795 0.5759 0.1642  5 Tl 3.23-3.49, 1 Pr 3.33, 1 Sm 3.41
Sm: 0.1205 0.0759 0.6642  5 Tl 3.23-3.49, 1 Pr 3.33, 1 Sm 3.41
Sm: 0.3795 0.4241 0.8358  5 Tl 3.23-3.49, 1 Pr 3.33, 1 Sm 3.41
Sm: 0.6205 0.1642 0.4241  5 Tl 3.23-3.49, 1 Pr 3.33, 1 Sm 3.41
Sm: 0.8795 0.3358 0.0759  5 Tl 3.23-3.49, 1 Pr 3.33, 1 Sm 3.41
Pr: 0.5000 0.5000 0.5000  4 Tl 3.29, 4 Sm 3.33
Pr: 0.0000 0.0000 0.0000  4 Tl 3.29, 4 Sm 3.33



2.
Below is an optimized crystal structure of TbScTe2, with properties calculated at the GGA-PBE level.

For the polymorph energy (0 for the lowest one), the calculation gives 0 meV/atom. The density of states at the Fermi level is 0.45 states/eV/atom. The value obtained for the formation energy without anion corrections is -1.24 eV per atom. As for the magnetic moment: 0.00 μB per cell. Its symmetry is R3m, No. 160.

abc: 4.1376 4.1376 7.8009
angles: 74.62 74.62 60.00
Closest atoms and distances in Å follow each position.
Atoms (fractional coordinates):
Te: 0.0770 0.0770 0.7689  3 Sc 2.90, 3 Tb 3.08
Te: 0.2556 0.2556 0.2332  3 Sc 3.00, 3 Tb 3.14
Sc: 0.6701 0.6701 0.9897  6 Te 2.90-3.00
Tb: 0.4973 0.4973 0.5082  6 Te 3.08-3.14



3.
Below is an optimized crystal structure of LiMgInHg, with properties calculated at the GGA-PBE level.

The density of states at the Fermi level is 0.31 states/eV/atom. The energy of formation from the pure elements is -22 kJ per mole of atoms. As for the magnetic moment: 0.00 μB per cell. Its symmetry is I-4m2, No. 119.

abc: 4.5992 4.5993 5.1259
angles: 116.65 116.66 90.00
Closest atoms and distances in Å follow each position.
Atoms (fractional coordinates):
In: 0.7500 0.2499 0.5000  4 Mg 3.04, 4 Li 3.04, 4 Hg 3.25
Mg: 0.0000 0.0000 0.0000  4 In 3.04, 4 Hg 3.04, 4 Li 3.25
Hg: 0.2500 0.7500 0.5000  4 Li 3.04, 4 Mg 3.04, 4 In 3.25
Li: 0.5000 0.5001 0.0000  4 Hg 3.04, 4 In 3.04, 4 Mg 3.25



4.
Below is an optimized crystal structure of In2NiW, with properties calculated at the GGA-PBE level.

For the polymorph energy (0 for the lowest one), the calculation gives 155 meV/atom. The density of states at the Fermi level is 1.10 states/eV/atom. The energy of formation from the pure elements is 43 kJ per mole of atoms. As for the magnetic moment: 0.00 μB per cell. Its symmetry is Pm, No. 6.

abc: 4.3860 3.0757 5.6041
angles: 74.80 90.00 90.00
Closest atoms and distances in Å follow each position.
Atoms (fractional coordinates):
Ni: 0.0000 0.6882 0.5118  2 W 2.53, 1 In 2.80
In: 0.5000 0.2834 0.2927  3 W 2.89-2.96, 4 Ni 2.91-2.94, 4 In 3.08-3.23
In: 0.0000 0.9663 0.9495  3 Ni 2.80-3.04, 4 W 2.89-2.90, 2 In 3.08
W: 0.5000 0.5620 0.7460  2 Ni 2.53